(1)
A relaxed Ce2AlTc3 crystal. Source: the Alexandria database, functional PBE.

Lattice parameters (Å, degrees): 5.4059 5.4059 8.9209 90.00 90.00 120.00
With the nearest neighbours (Å) after each atom.
Space group P6_3/mmc (No. 194)
Symmetry-distinct sites (fractional):
Ce1 0.3333 0.6667 0.0765  4 Ce 3.10-3.41, 9 Tc 3.11-3.29, 3 Al 3.19
Al1 0.0000 0.0000 0.0000  6 Tc 2.74
Tc1 0.1701 0.3402 0.7500  4 Tc 2.65-2.76, 2 Al 2.74

**Magnetic moment**: 0.0 Bohr magnetons per cell
**Formation energy from the elements**: -0.25 eV per atom

---

(2)
A relaxed Eu3NbO7 crystal. Source: the Alexandria database, functional PBE.

Lattice parameters (Å, degrees): 7.5342 10.8209 7.7416 90.00 90.00 90.00
With the nearest neighbours (Å) after each atom.
Space group C222_1 (No. 20)
Symmetry-distinct sites (fractional):
Eu1 0.0009 0.0000 0.0000  6 O 2.38-2.65
Eu2 0.2359 0.2669 0.7503  6 O 2.26-2.49
Nb1 0.0002 0.5000 0.0000  6 O 2.01-2.04
O1 0.0000 0.1282 0.2500  4 Eu 2.29-2.38
O2 0.0000 0.1375 0.7500  4 Eu 2.26-2.44
O3 0.0000 0.4419 0.7500  2 Nb 2.04
O4 0.1961 0.3763 0.0306  1 Nb 2.01
O5 0.1971 0.3765 0.4701  1 Nb 2.01

**Magnetic moment**: 72.0 Bohr magnetons per cell
**Energy relative to the elements, uncorrected**: -2760 meV per atom

---

(3)
A relaxed CeTmPdSe3 crystal. Source: the Alexandria database, functional PBE.

Lattice parameters (Å, degrees): 7.7186 3.9706 9.4865 90.00 103.50 90.00
With the nearest neighbours (Å) after each atom.
Space group P2_1/m (No. 11)
Symmetry-distinct sites (fractional):
Ce1 0.2125 0.2500 0.2888  6 Se 2.98-3.05, 1 Pd 3.23
Tm1 0.3128 0.7500 0.8258  6 Se 2.79-2.92, 2 Pd 3.12
Pd1 0.1002 0.2500 0.5957  3 Se 2.56-2.66
Se1 0.0641 0.2500 0.8571  1 Pd 2.56, 2 Tm 2.83
Se2 0.2961 0.7500 0.5288  2 Pd 2.66, 1 Tm 2.79, 2 Ce 2.98
Se3 0.4151 0.7500 0.1424  3 Tm 2.85-2.92, 2 Ce 3.05

**Magnetic moment**: 1.9 Bohr magnetons per cell
**Energy relative to the elements, uncorrected**: -1550 meV per atom

---

(4)
A relaxed YTh2O crystal. Source: the Alexandria database, functional PBE.

Lattice parameters (Å, degrees): 3.5067 3.5067 29.5809 90.00 90.00 120.00
With the nearest neighbours (Å) after each atom.
Space group R-3m (No. 166, hexagonal axes)
Symmetry-distinct sites (fractional):
Y1 0.0000 0.0000 0.0000  2 Th 3.38, 6 Y 3.51
Th1 0.0000 0.0000 0.1143  3 O 2.55
O1 0.0000 0.0000 0.5000  6 Th 2.55

**Magnetic moment**: 0.0 Bohr magnetons per cell
**Energy relative to the elements, uncorrected**: -936 meV per atom

---

(5)
A relaxed NaTb2Pd crystal. Source: the Alexandria database, functional PBE.

Lattice parameters (Å, degrees): 3.5150 3.5150 9.2086 90.00 90.00 90.00
With the nearest neighbours (Å) after each atom.
Space group P4/mmm (No. 123)
Symmetry-distinct sites (fractional):
Na1 0.0000 0.0000 0.0000  4 Na 3.51, 8 Tb 3.83
Tb1 0.5000 0.5000 0.3169  4 Pd 3.00
Pd1 0.0000 0.0000 0.5000  8 Tb 3.00

**Magnetic moment**: 0.0 Bohr magnetons per cell
**Formation energy from the elements**: -0.30 eV per atom

---

(6)
A relaxed ScGa2B crystal. Source: the Alexandria database, functional PBE.

Lattice parameters (Å, degrees): 7.1214 7.1214 4.9189 90.00 90.00 90.00
With the nearest neighbours (Å) after each atom.
Space group I-42d (No. 122)
Symmetry-distinct sites (fractional):
Sc1 0.0000 0.0000 0.0000  2 B 2.46
Ga1 0.1656 0.7500 0.6250  2 B 2.22
B1 0.0000 0.0000 0.5000  4 Ga 2.22, 2 Sc 2.46

**Magnetic moment**: 0.0 Bohr magnetons per cell
**Formation energy from the elements**: -0.12 eV per atom

---

(7)
A relaxed PmMgAgBi crystal. Source: the Alexandria database, functional PBE.

Lattice parameters (Å, degrees): 7.4789 7.4789 7.4789 90.00 90.00 90.00
With the nearest neighbours (Å) after each atom.
Space group F-43m (No. 216)
Symmetry-distinct sites (fractional):
Pm1 0.0000 0.0000 0.0000  4 Bi 3.24, 4 Ag 3.24
Mg1 0.0000 0.0000 0.5000  4 Bi 3.24, 4 Ag 3.24
Ag1 0.2500 0.2500 0.7500  4 Mg 3.24, 4 Pm 3.24
Bi1 0.2500 0.2500 0.2500  4 Mg 3.24, 4 Pm 3.24

**Magnetic moment**: 0.0 Bohr magnetons per cell
**Formation energy from the elements**: -0.29 eV per atom

---

(8)
A relaxed K4SrFe crystal. Source: the Alexandria database, functional PBE.

Lattice parameters (Å, degrees): 11.0454 11.0454 11.0454 90.00 90.00 90.00
With the nearest neighbours (Å) after each atom.
Space group F-43m (No. 216)
Symmetry-distinct sites (fractional):
K1 0.1241 0.1241 0.3759  6 K 3.88-3.93
Sr1 0.0000 0.0000 0.0000  12 K 4.58, 4 Fe 4.78
Fe1 0.2500 0.2500 0.7500  12 K 4.58, 4 Sr 4.78

**Magnetic moment**: 12.5 Bohr magnetons per cell
**Formation energy from the elements**: 0.74 eV per atom